1.
A plane-wave DFT calculation with PBE was carried out for Pm5Pr3Sm3 after structural relaxation.

Computed properties:
- Energy relative to the elements: 0.712 eV/atom
- Crystal system: hexagonal
- Relative energy among the computed polymorphs: 0.410 eV per atom

Cell lengths 9.797, 9.797, 5.624 Å; angles 90.00, 90.00, 120.00 degrees
Positions (direct):
1 Pm 0.000 0.633 0.000
2 Pm 0.333 0.667 0.000
3 Pm 0.367 0.367 0.000
4 Pm 0.633 0.000 0.000
5 Pm 0.667 0.333 0.000
6 Pr 0.000 0.420 0.500
7 Pr 0.420 0.000 0.500
8 Pr 0.580 0.580 0.500
9 Sm 0.000 0.268 0.000
10 Sm 0.268 0.000 0.000
11 Sm 0.732 0.732 0.000

=====

2.
A plane-wave DFT calculation with PBE was carried out for PmPr5Sm5 after structural relaxation.

Computed properties:
- Energy relative to the elements: 0.135 eV/atom
- Crystal system: triclinic
- Relative energy among the computed polymorphs: 0.000 eV per atom

Cell lengths 7.074, 7.078, 8.818 Å; angles 75.35, 74.82, 69.76 degrees
Positions (direct):
1 Pm 0.000 0.000 0.000
2 Pr 0.148 0.146 0.362
3 Pr 0.234 0.642 0.267
4 Pr 0.500 0.000 0.000
5 Pr 0.766 0.358 0.733
6 Pr 0.852 0.854 0.638
7 Sm 0.000 0.500 0.000
8 Sm 0.312 0.318 0.638
9 Sm 0.349 0.778 0.724
10 Sm 0.651 0.222 0.276
11 Sm 0.688 0.682 0.362

=====

3.
A plane-wave DFT calculation with PBE was carried out for Pm6PrSm after structural relaxation.

Computed properties:
- Energy relative to the elements: 0.015 eV/atom
- Crystal system: tetragonal

Cell lengths 5.165, 5.165, 10.332 Å; angles 90.00, 90.00, 90.00 degrees
Positions (direct):
1 Pm 0.000 0.000 0.000
2 Pm 0.000 0.000 0.500
3 Pm 0.000 0.500 0.248
4 Pm 0.000 0.500 0.752
5 Pm 0.500 0.000 0.248
6 Pm 0.500 0.000 0.752
7 Pr 0.500 0.500 0.500
8 Sm 0.500 0.500 0.000

=====

4.
A plane-wave DFT calculation with PBE was carried out for Pm2PrSm after structural relaxation.

Computed properties:
- Energy relative to the elements: 0.014 eV/atom
- Crystal system: tetragonal
- Relative energy among the computed polymorphs: 0.001 eV per atom

Cell lengths 3.663, 3.663, 10.347 Å; angles 90.00, 90.00, 90.00 degrees
Positions (direct):
1 Pm 0.000 0.000 0.247
2 Pm 0.000 0.000 0.753
3 Pr 0.500 0.500 0.500
4 Sm 0.500 0.500 0.000

=====

5.
A plane-wave DFT calculation with PBE was carried out for Pm2Pr3Sm8 after structural relaxation.

Computed properties:
- Energy relative to the elements: 0.218 eV/atom
- Crystal system: monoclinic
- Relative energy among the computed polymorphs: 0.067 eV per atom

Cell lengths 8.754, 8.754, 7.158 Å; angles 106.12, 106.12, 64.40 degrees
Positions (direct):
1 Pm 0.218 0.218 0.420
2 Pm 0.782 0.782 0.580
3 Pr 0.000 0.000 0.000
4 Pr 0.176 0.824 0.500
5 Pr 0.824 0.176 0.500
6 Sm 0.191 0.191 0.892
7 Sm 0.195 0.560 0.824
8 Sm 0.417 0.417 0.268
9 Sm 0.440 0.805 0.176
10 Sm 0.560 0.195 0.824
11 Sm 0.583 0.583 0.732
12 Sm 0.805 0.440 0.176
13 Sm 0.809 0.809 0.108

=====

6.
A plane-wave DFT calculation with PBE was carried out for Pm5Pr4Sm after structural relaxation.

Computed properties:
- Energy relative to the elements: 0.170 eV/atom
- Crystal system: monoclinic
- Relative energy among the computed polymorphs: 0.010 eV per atom

Cell lengths 9.012, 9.012, 11.372 Å; angles 90.07, 90.07, 23.18 degrees
Positions (direct):
1 Pm 0.000 0.000 0.000
2 Pm 0.326 0.326 0.055
3 Pm 0.327 0.327 0.446
4 Pm 0.673 0.673 0.554
5 Pm 0.674 0.674 0.945
6 Pr 0.154 0.154 0.250
7 Pr 0.470 0.470 0.250
8 Pr 0.530 0.530 0.750
9 Pr 0.846 0.846 0.750
10 Sm 0.000 0.000 0.500

=====

7.
A plane-wave DFT calculation with PBE was carried out for Pm2PrSm after structural relaxation.

Computed properties:
- Energy relative to the elements: 0.138 eV/atom
- Crystal system: cubic
- Relative energy among the computed polymorphs: 0.125 eV per atom

Cell lengths 5.815, 5.815, 5.815 Å; angles 60.00, 60.00, 60.00 degrees
Positions (direct):
1 Pm 0.250 0.250 0.250
2 Pm 0.750 0.750 0.750
3 Pr 0.000 0.000 0.000
4 Sm 0.500 0.500 0.500

=====

8.
A plane-wave DFT calculation with PBE was carried out for PmPr2Sm after structural relaxation.

Computed properties:
- Energy relative to the elements: 0.011 eV/atom
- Crystal system: trigonal
- Relative energy among the computed polymorphs: 0.000 eV per atom

Cell lengths 12.175, 12.175, 12.175 Å; angles 17.38, 17.38, 17.38 degrees
Positions (direct):
1 Pm 0.000 0.000 0.000
2 Pr 0.250 0.250 0.250
3 Pr 0.750 0.750 0.750
4 Sm 0.500 0.500 0.500

=====

9.
A plane-wave DFT calculation with PBE was carried out for Pm3Pr3Sm after structural relaxation.

Computed properties:
- Energy relative to the elements: 0.030 eV/atom
- Crystal system: hexagonal
- Relative energy among the computed polymorphs: 0.000 eV per atom

Cell lengths 9.832, 9.832, 5.931 Å; angles 90.00, 90.00, 120.00 degrees
Positions (direct):
1 Pm 0.046 0.809 0.250
2 Pm 0.191 0.237 0.250
3 Pm 0.237 0.046 0.750
4 Pm 0.763 0.954 0.250
5 Pm 0.809 0.763 0.750
6 Pm 0.954 0.191 0.750
7 Pr 0.095 0.620 0.750
8 Pr 0.380 0.475 0.750
9 Pr 0.475 0.095 0.250
10 Pr 0.525 0.905 0.750
11 Pr 0.620 0.525 0.250
12 Pr 0.905 0.380 0.250
13 Sm 0.333 0.667 0.250
14 Sm 0.667 0.333 0.750

=====

10.
A plane-wave DFT calculation with PBE was carried out for PmPr5Sm after structural relaxation.

Computed properties:
- Energy relative to the elements: 0.158 eV/atom
- Crystal system: monoclinic

Cell lengths 12.251, 12.251, 6.700 Å; angles 98.06, 98.06, 144.94 degrees
Positions (direct):
1 Pm 0.097 0.903 0.750
2 Pm 0.903 0.097 0.250
3 Pr 0.045 0.486 0.258
4 Pr 0.231 0.289 0.019
5 Pr 0.289 0.231 0.519
6 Pr 0.376 0.624 0.750
7 Pr 0.486 0.045 0.758
8 Pr 0.514 0.955 0.242
9 Pr 0.624 0.376 0.250
10 Pr 0.711 0.769 0.481
11 Pr 0.769 0.711 0.981
12 Pr 0.955 0.514 0.742
13 Sm 0.153 0.847 0.250
14 Sm 0.847 0.153 0.750

=====

11.
A plane-wave DFT calculation with PBE was carried out for Pm3Pr6Sm after structural relaxation.

Computed properties:
- Energy relative to the elements: 0.202 eV/atom
- Crystal system: monoclinic
- Relative energy among the computed polymorphs: 0.073 eV per atom

Cell lengths 6.757, 6.757, 9.180 Å; angles 103.64, 103.64, 62.92 degrees
Positions (direct):
1 Pm 0.000 0.000 0.000
2 Pm 0.079 0.079 0.667
3 Pm 0.921 0.921 0.333
4 Pr 0.049 0.578 0.700
5 Pr 0.374 0.374 0.080
6 Pr 0.422 0.951 0.300
7 Pr 0.578 0.049 0.700
8 Pr 0.626 0.626 0.920
9 Pr 0.951 0.422 0.300
10 Sm 0.500 0.500 0.500

=====

12.
A plane-wave DFT calculation with PBE was carried out for Pm12Pr7Sm after structural relaxation.

Computed properties:
- Energy relative to the elements: 0.585 eV/atom
- Crystal system: cubic
- Relative energy among the computed polymorphs: 0.372 eV per atom

Cell lengths 10.074, 10.074, 10.074 Å; angles 109.47, 109.47, 109.47 degrees
Positions (direct):
1 Pm 0.001 0.752 0.249
2 Pm 0.248 0.249 0.496
3 Pm 0.248 0.751 0.999
4 Pm 0.249 0.001 0.752
5 Pm 0.249 0.496 0.248
6 Pm 0.496 0.248 0.249
7 Pm 0.504 0.752 0.751
8 Pm 0.751 0.504 0.752
9 Pm 0.751 0.999 0.248
10 Pm 0.752 0.249 0.001
11 Pm 0.752 0.751 0.504
12 Pm 0.999 0.248 0.751
13 Pr 0.000 0.000 0.500
14 Pr 0.000 0.500 0.000
15 Pr 0.000 0.500 0.500
16 Pr 0.500 0.000 0.000
17 Pr 0.500 0.000 0.500
18 Pr 0.500 0.500 0.000
19 Pr 0.500 0.500 0.500
20 Sm 0.000 0.000 0.000